# CdGaAg2

A relaxed CdGaAg2 crystal (PBE-GGA, the Alexandria database). Values from VASP.

Geometry as Quantum ESPRESSO input:
```
&SYSTEM
  ibrav = 0, nat = 4, ntyp = 3
/
ATOMIC_SPECIES
Ga 69.72 Ga.upf
Ag 107.87 Ag.upf
Cd 112.41 Cd.upf
CELL_PARAMETERS angstrom
3.427 0.000 0.000
0.000 3.427 0.000
0.000 0.000 6.324
ATOMIC_POSITIONS crystal
Ga 0.500 0.500 0.000
Ag 0.000 0.000 0.762
Ag 0.000 0.000 0.238
Cd 0.500 0.500 0.500
```

Properties
Crystal system: tetragonal
Energy relative to the elements: -0.001 eV/atom

---

# Cd2GaAg

A relaxed Cd2GaAg crystal (PBE-GGA, the Alexandria database). Values from VASP.

Geometry as Quantum ESPRESSO input:
```
&SYSTEM
  ibrav = 0, nat = 8, ntyp = 3
/
ATOMIC_SPECIES
Ga 69.72 Ga.upf
Ag 107.87 Ag.upf
Cd 112.41 Cd.upf
CELL_PARAMETERS angstrom
-3.406 3.139 -6.412
2.361 -6.210 -4.294
-2.959 -2.896 -4.725
ATOMIC_POSITIONS crystal
Ga 0.500 0.500 0.000
Ga 0.250 0.750 0.500
Ag 0.000 0.000 0.000
Ag 0.750 0.250 0.500
Cd 0.624 0.125 0.250
Cd 0.126 0.625 0.250
Cd 0.375 0.376 0.750
Cd 0.875 0.874 0.750
```

Properties
Crystal system: tetragonal
Energy relative to the elements: 0.154 eV/atom

---

# GdCdGaAg

A relaxed GdCdGaAg crystal (PBE-GGA, the Alexandria database). Values from VASP.

Geometry as Quantum ESPRESSO input:
```
&SYSTEM
  ibrav = 0, nat = 4, ntyp = 4
/
ATOMIC_SPECIES
Gd 157.25 Gd.upf
Ga 69.72 Ga.upf
Ag 107.87 Ag.upf
Cd 112.41 Cd.upf
CELL_PARAMETERS angstrom
-2.088 -3.409 2.911
2.408 -4.200 1.009
1.782 -0.798 4.544
ATOMIC_POSITIONS crystal
Gd 0.000 0.000 0.000
Ga 0.750 0.750 0.750
Ag 0.250 0.250 0.250
Cd 0.500 0.500 0.500
```

Properties
Crystal system: cubic
Energy relative to the elements: -0.345 eV/atom

---

# CdGaAgHg

A relaxed CdGaAgHg crystal (PBE-GGA, the Alexandria database). Values from VASP.

Geometry as Quantum ESPRESSO input:
```
&SYSTEM
  ibrav = 0, nat = 4, ntyp = 4
/
ATOMIC_SPECIES
Ga 69.72 Ga.upf
Hg 200.59 Hg.upf
Ag 107.87 Ag.upf
Cd 112.41 Cd.upf
CELL_PARAMETERS angstrom
4.924 0.000 0.000
2.462 4.265 0.000
2.462 1.422 4.021
ATOMIC_POSITIONS crystal
Ga 0.250 0.250 0.250
Hg 0.500 0.500 0.500
Ag 0.000 0.000 0.000
Cd 0.750 0.750 0.750
```

Properties
Crystal system: cubic
Energy relative to the elements: 0.098 eV/atom

---

# Cd4Ga2AgHg2

A relaxed Cd4Ga2AgHg2 crystal (PBE-GGA, the Alexandria database). Values from VASP.

Geometry as Quantum ESPRESSO input:
```
&SYSTEM
  ibrav = 0, nat = 9, ntyp = 4
/
ATOMIC_SPECIES
Cd 112.41 Cd.upf
Ga 69.72 Ga.upf
Ag 107.87 Ag.upf
Hg 200.59 Hg.upf
CELL_PARAMETERS angstrom
-1.345 0.489 2.753
1.976 -2.365 -0.363
17.915 14.008 6.264
ATOMIC_POSITIONS crystal
Cd 0.000 0.000 0.524
Cd 0.667 0.333 0.111
Cd 0.667 0.333 0.876
Cd 0.000 0.000 0.759
Ga 0.667 0.333 0.418
Ga 0.667 0.333 0.230
Ag 0.000 0.000 0.324
Hg 0.000 0.000 0.994
Hg 0.667 0.333 0.641
```

Properties
Crystal system: trigonal
Energy relative to the elements: 0.051 eV/atom

---

# HoCdGaAg

A relaxed HoCdGaAg crystal (PBE-GGA, the Alexandria database). Values from VASP.

Geometry as Quantum ESPRESSO input:
```
&SYSTEM
  ibrav = 0, nat = 4, ntyp = 4
/
ATOMIC_SPECIES
Ga 69.72 Ga.upf
Ho 164.93 Ho.upf
Ag 107.87 Ag.upf
Cd 112.41 Cd.upf
CELL_PARAMETERS angstrom
-4.643 1.358 -0.756
-3.111 0.286 3.770
-1.557 4.371 1.562
ATOMIC_POSITIONS crystal
Ga 0.500 0.500 0.500
Ho 0.250 0.250 0.250
Ag 0.000 0.000 0.000
Cd 0.750 0.750 0.750
```

Properties
Crystal system: cubic
Energy relative to the elements: -0.332 eV/atom

---

# Ho4CdGaAg2

A relaxed Ho4CdGaAg2 crystal (PBE-GGA, the Alexandria database). Values from VASP.

Geometry as Quantum ESPRESSO input:
```
&SYSTEM
  ibrav = 0, nat = 8, ntyp = 4
/
ATOMIC_SPECIES
Ho 164.93 Ho.upf
Cd 112.41 Cd.upf
Ga 69.72 Ga.upf
Ag 107.87 Ag.upf
CELL_PARAMETERS angstrom
5.143 0.000 0.000
2.571 4.454 0.000
2.571 1.485 8.401
ATOMIC_POSITIONS crystal
Ho 0.379 0.379 0.864
Ho 0.872 0.872 0.385
Ho 0.128 0.128 0.615
Ho 0.621 0.621 0.136
Cd 0.000 0.000 0.000
Ga 0.500 0.500 0.500
Ag 0.746 0.746 0.762
Ag 0.254 0.254 0.238
```

Properties
Crystal system: trigonal
Energy relative to the elements: -0.387 eV/atom

---

# CdIn2Ga2Ag7

A relaxed CdIn2Ga2Ag7 crystal (PBE-GGA, the Alexandria database). Values from VASP.

Geometry as Quantum ESPRESSO input:
```
&SYSTEM
  ibrav = 0, nat = 12, ntyp = 4
/
ATOMIC_SPECIES
Cd 112.41 Cd.upf
In 114.82 In.upf
Ga 69.72 Ga.upf
Ag 107.87 Ag.upf
CELL_PARAMETERS angstrom
-3.573 1.182 -1.207
-1.106 -3.769 -0.432
-7.608 -1.583 14.112
ATOMIC_POSITIONS crystal
Cd 0.000 0.000 0.000
In 0.658 0.658 0.716
In 0.342 0.342 0.284
Ga 0.799 0.799 0.369
Ga 0.201 0.201 0.631
Ag 0.500 0.500 0.000
Ag 0.269 0.269 0.463
Ag 0.731 0.731 0.537
Ag 0.920 0.421 0.145
Ag 0.421 0.920 0.145
Ag 0.579 0.080 0.855
Ag 0.080 0.579 0.855
```

Properties
Crystal system: monoclinic
Energy relative to the elements: 0.074 eV/atom

---

# CdInGa2Ag4

A relaxed CdInGa2Ag4 crystal (PBE-GGA, the Alexandria database). Values from VASP.

Geometry as Quantum ESPRESSO input:
```
&SYSTEM
  ibrav = 0, nat = 16, ntyp = 4
/
ATOMIC_SPECIES
Cd 112.41 Cd.upf
In 114.82 In.upf
Ga 69.72 Ga.upf
Ag 107.87 Ag.upf
CELL_PARAMETERS angstrom
-3.002 -0.572 7.707
4.369 -7.028 0.454
2.849 8.159 -4.375
ATOMIC_POSITIONS crystal
Cd 0.500 0.500 0.500
Cd 0.000 0.000 0.000
In 0.000 0.500 0.000
In 0.000 0.500 0.500
Ga 0.500 0.000 0.000
Ga 0.500 0.000 0.500
Ga 0.000 0.000 0.500
Ga 0.500 0.500 0.000
Ag 0.272 0.739 0.005
Ag 0.761 0.228 0.495
Ag 0.239 0.772 0.505
Ag 0.728 0.261 0.995
Ag 0.730 0.770 0.011
Ag 0.730 0.770 0.489
Ag 0.270 0.230 0.511
Ag 0.270 0.230 0.989
```

Properties
Crystal system: orthorhombic
Energy relative to the elements: 0.108 eV/atom

---

# KCd2GaAg

A relaxed KCd2GaAg crystal (PBE-GGA, the Alexandria database). Values from VASP.

Geometry as Quantum ESPRESSO input:
```
&SYSTEM
  ibrav = 0, nat = 5, ntyp = 4
/
ATOMIC_SPECIES
K 39.10 K.upf
Ga 69.72 Ga.upf
Ag 107.87 Ag.upf
Cd 112.41 Cd.upf
CELL_PARAMETERS angstrom
5.333 0.000 0.000
0.000 5.159 0.000
0.000 0.000 5.333
ATOMIC_POSITIONS crystal
K 0.500 0.500 0.500
Ga 0.000 0.000 0.000
Ag 0.000 0.500 0.000
Cd 0.000 0.000 0.500
Cd 0.500 0.000 0.000
```

Properties
Crystal system: tetragonal
Offset from the most stable computed form: 0.000 eV/atom
Energy relative to the elements: 0.057 eV/atom

---

# KCd2GaAg

A relaxed KCd2GaAg crystal (PBE-GGA, the Alexandria database). Values from VASP.

Geometry as Quantum ESPRESSO input:
```
&SYSTEM
  ibrav = 0, nat = 5, ntyp = 4
/
ATOMIC_SPECIES
K 39.10 K.upf
Ga 69.72 Ga.upf
Ag 107.87 Ag.upf
Cd 112.41 Cd.upf
CELL_PARAMETERS angstrom
-4.664 1.495 2.298
-2.565 -3.982 -2.614
0.912 -3.144 3.895
ATOMIC_POSITIONS crystal
K 0.500 0.500 0.500
Ga 0.000 0.000 0.500
Ag 0.000 0.000 0.000
Cd 0.000 0.500 0.000
Cd 0.500 0.000 0.000
```

Properties
Crystal system: tetragonal
Offset from the most stable computed form: 0.023 eV/atom
Energy relative to the elements: 0.081 eV/atom

---

# La4CdGaAg2

A relaxed La4CdGaAg2 crystal (PBE-GGA, the Alexandria database). Values from VASP.

Geometry as Quantum ESPRESSO input:
```
&SYSTEM
  ibrav = 0, nat = 8, ntyp = 4
/
ATOMIC_SPECIES
La 138.91 La.upf
Cd 112.41 Cd.upf
Ga 69.72 Ga.upf
Ag 107.87 Ag.upf
CELL_PARAMETERS angstrom
5.349 0.000 0.000
2.675 4.632 0.000
2.675 1.544 9.182
ATOMIC_POSITIONS crystal
La 0.285 0.285 0.145
La 0.874 0.874 0.379
La 0.126 0.126 0.621
La 0.715 0.715 0.855
Cd 0.000 0.000 0.000
Ga 0.500 0.500 0.500
Ag 0.601 0.601 0.198
Ag 0.399 0.399 0.802
```

Properties
Crystal system: trigonal
Energy relative to the elements: -0.314 eV/atom